No. 1
Pr2SnIr: optimized geometry, GGA-PBE.

Values from the calculation:
The value obtained for the total energy is -6.29 eV per atom. The energy of formation from the pure elements is -0.69 eV/atom. The value obtained for the energy relative to the lowest polymorph listed for this composition is 0 meV per atom. Its symmetry is P2_1/m. As for the size of the total moment: 0.0 μB/cell.

The structure in POSCAR format:
```
Pr2SnIr
1.0
-0.0738 -4.1590 -0.0221
3.8668 -0.0956 5.0739
-8.7541 0.1431 2.3145
Ir Sn Pr
2 2 4
Direct
0.7500 0.6761 0.2966
0.2500 0.3239 0.7034
0.7500 0.6642 0.7951
0.2500 0.3358 0.2049
0.2500 0.7762 0.1044
0.2500 0.7879 0.5479
0.7500 0.2121 0.4521
0.7500 0.2238 0.8956
```


No. 2
SrTbHgAu: optimized geometry, GGA-PBE.

Values from the calculation:
The value obtained for the total energy is -3.04 eV per atom. The energy of formation from the pure elements is -0.57 eV/atom. Its symmetry is F-43m. As for the size of the total moment: 0.0 μB/cell.

The structure in POSCAR format:
```
SrTbHgAu
1.0
5.3456 0.0000 0.0000
2.6728 4.6294 0.0000
2.6728 1.5431 4.3647
Hg Sr Tb Au
1 1 1 1
Direct
0.5000 0.5000 0.5000
0.2500 0.2500 0.2500
0.7500 0.7500 0.7500
0.0000 0.0000 0.0000
```


No. 3
TlHgSe4: optimized geometry, GGA-PBE.

Values from the calculation:
The value obtained for the total energy is -2.56 eV per atom. The value obtained for the formation energy without anion corrections is 1.27 eV per formula unit. Its symmetry is F-43m. As for the size of the total moment: 0.0 μB/cell.

The structure in POSCAR format:
```
TlHgSe4
1.0
0.0386 -4.8710 -3.4330
-2.7731 -4.9507 1.8208
-5.0035 -1.7789 -2.7046
Se Tl Hg
4 1 1
Direct
0.3719 0.3719 0.8843
0.3719 0.8843 0.3719
0.3719 0.3719 0.3719
0.8843 0.3719 0.3719
0.7500 0.7500 0.7500
0.0000 0.0000 0.0000
```


No. 4
Sm3S2: optimized geometry, GGA-PBE.

Values from the calculation:
The value obtained for the total energy is -6.02 eV per atom. The value obtained for the formation energy without anion corrections is -7.69 eV per formula unit. The value obtained for the energy relative to the lowest polymorph listed for this composition is 61 meV per atom. Its symmetry is R-3c. As for the size of the total moment: 0.0 μB/cell.

The structure in POSCAR format:
```
Sm3S2
1.0
6.8817 0.0000 0.0000
3.4408 5.9597 0.0000
3.4408 1.9866 6.4673
Sm S
6 4
Direct
0.0796 0.7500 0.7500
0.4204 0.0796 0.7500
0.2500 0.5796 0.2500
0.5796 0.9204 0.2500
0.7500 0.4204 0.7500
0.9204 0.2500 0.2500
0.8372 0.8372 0.4884
0.6628 0.6628 0.0116
0.3372 0.3372 0.9884
0.1628 0.1628 0.5116
```


No. 5
TiNb6Tc: optimized geometry, GGA-PBE.

Values from the calculation:
The value obtained for the total energy is -9.75 eV per atom. The energy of formation from the pure elements is 0.09 eV/atom. Its symmetry is R-3m. As for the size of the total moment: 0.0 μB/cell.

The structure in POSCAR format:
```
TiNb6Tc
1.0
-3.0290 -4.9610 0.0825
5.0345 -0.7037 -2.8199
0.9152 1.9482 5.4001
Nb Tc Ti
6 1 1
Direct
0.7488 0.2550 0.7488
0.7488 0.7488 0.2550
0.7450 0.2512 0.2512
0.2550 0.7488 0.7488
0.2512 0.7450 0.2512
0.2512 0.2512 0.7450
0.5000 0.5000 0.5000
0.0000 0.0000 0.0000
```


No. 6
KTa3Mo: optimized geometry, GGA-PBE.

Values from the calculation:
The value obtained for the total energy is -6.46 eV per atom. The energy of formation from the pure elements is 3.03 eV/atom. The value obtained for the energy relative to the lowest polymorph listed for this composition is 1505 meV per atom. Its symmetry is Pm-3m. As for the size of the total moment: 0.6 μB/cell.

The structure in POSCAR format:
```
KTa3Mo
1.0
4.5759 0.0000 0.0000
0.0000 4.5759 0.0000
0.0000 0.0000 4.5759
K Ta Mo
1 3 1
Direct
0.0000 0.0000 0.0000
0.0000 0.0000 0.5000
0.5000 0.0000 0.0000
0.0000 0.5000 0.0000
0.5000 0.5000 0.5000
```


No. 7
K3Np3SnTe8: optimized geometry, GGA-PBE.

Values from the calculation:
The value obtained for the total energy is -5.52 eV per atom. The value obtained for the formation energy without anion corrections is -11.48 eV per formula unit. Its symmetry is R-3m. As for the size of the total moment: 10.0 μB/cell.

The structure in POSCAR format:
```
K3Np3SnTe8
1.0
-1.8827 2.5282 8.4875
-3.2846 -7.7914 -3.2365
9.5029 0.4337 1.9787
Te Sn Np K
8 1 3 3
Direct
0.7577 0.5155 0.2941
0.7215 0.9637 0.7059
0.7578 0.0363 0.2941
0.2422 0.9637 0.7059
0.2423 0.4845 0.7059
0.7364 0.4727 0.7091
0.2636 0.5273 0.2909
0.2785 0.0363 0.2941
0.0000 0.0000 0.5000
0.5000 0.0000 0.5000
0.5000 0.5000 0.5000
0.0000 0.5000 0.5000
0.0000 0.5000 0.0000
0.5000 0.5000 0.0000
0.0000 0.0000 0.0000
```


No. 8
Cs12Pd2Au5: optimized geometry, GGA-PBE.

Values from the calculation:
The value obtained for the total energy is -2.08 eV per atom. The energy of formation from the pure elements is -0.13 eV/atom. Its symmetry is C2/m. As for the size of the total moment: 0.0 μB/cell.

The structure in POSCAR format:
```
Cs12Pd2Au5
1.0
-7.3986 0.5131 8.5164
-4.2240 -7.9494 6.8187
6.5896 0.5499 9.5810
Cs Au Pd
12 5 2
Direct
0.8882 0.4444 0.9124
0.9076 0.3992 0.4258
0.5556 0.1118 0.0876
0.9939 0.9939 0.8112
0.6008 0.0924 0.5742
0.5016 0.5016 0.2575
0.4444 0.8882 0.9124
0.0924 0.6008 0.5742
0.1118 0.5556 0.0876
0.4984 0.4984 0.7425
0.3992 0.9076 0.4258
0.0061 0.0061 0.1888
0.2992 0.2992 0.3643
0.7008 0.7008 0.6357
0.0000 0.0000 0.5000
0.3038 0.3038 0.8350
0.6962 0.6962 0.1650
0.6544 0.3456 0.0000
0.3456 0.6544 0.0000
```


No. 9
Np2Br2F3: optimized geometry, GGA-PBE.

Values from the calculation:
The value obtained for the total energy is -7.35 eV per atom. The value obtained for the formation energy without anion corrections is -16.64 eV per formula unit. Its symmetry is C2/m. As for the size of the total moment: 9.0 μB/cell.

The structure in POSCAR format:
```
Np2Br2F3
1.0
-3.7869 -0.5136 -1.0642
-2.6931 -3.4876 3.8726
-3.8950 3.7128 4.6746
Np Br F
2 2 3
Direct
0.8489 0.0807 0.2214
0.1511 0.9193 0.7786
0.8676 0.4827 0.7820
0.1324 0.5173 0.2180
0.3373 0.9057 0.4197
0.6627 0.0943 0.5803
0.5000 0.0000 0.0000
```


No. 10
LaPrDy2H: optimized geometry, GGA-PBE.

Values from the calculation:
The value obtained for the total energy is -4.62 eV per atom. Its symmetry is P4/mmm. As for the size of the total moment: 0.0 μB/cell.

The structure in POSCAR format:
```
LaPrDy2H
1.0
-0.8413 -3.9061 3.1969
1.0240 -3.3003 -3.7629
4.9341 0.0211 1.3243
Pr La Dy H
1 1 2 1
Direct
0.5000 0.0000 0.0000
0.5000 0.5000 0.5000
0.0000 0.0000 0.5000
0.0000 0.5000 0.0000
0.0000 0.0000 0.0000
```


No. 11
Rb4HoBr7: optimized geometry, GGA-PBE.

Values from the calculation:
The value obtained for the total energy is -3.46 eV per atom. The value obtained for the formation energy without anion corrections is -21.39 eV per formula unit. Its symmetry is C2/m. As for the size of the total moment: 0.2 μB/cell.

The structure in POSCAR format:
```
Rb4HoBr7
1.0
5.3470 0.0000 1.6962
1.7000 8.0745 3.9169
-1.1247 1.1189 12.8214
Br Rb Ho
7 4 1
Direct
0.1131 0.6428 0.1311
0.3544 0.7526 0.5385
0.8869 0.3572 0.8689
0.8849 0.0143 0.2159
0.5000 0.0000 0.0000
0.1151 0.9857 0.7841
0.6456 0.2474 0.4615
0.4873 0.3220 0.7034
0.2465 0.1828 0.3242
0.5127 0.6780 0.2966
0.7535 0.8172 0.6758
0.0000 0.0000 0.0000
```


No. 12
BaTlCu2: optimized geometry, GGA-PBE.

Values from the calculation:
The value obtained for the total energy is -2.96 eV per atom. The energy of formation from the pure elements is 0.16 eV/atom. Its symmetry is P2/m. As for the size of the total moment: 0.0 μB/cell.

The structure in POSCAR format:
```
BaTlCu2
1.0
3.8283 0.0000 0.0000
0.0000 3.7834 0.0640
0.0000 3.6824 7.0650
Tl Ba Cu
1 1 2
Direct
0.5000 0.2500 0.2500
0.5000 0.7500 0.7500
0.0000 0.9311 0.0686
0.0000 0.5689 0.4314
```